(1)
# MgZn2Sb

A relaxed MgZn2Sb crystal (GGA-PBEsol, Alexandria).

Cell: 3.0541 4.3007 6.0892 Å, 90.00 91.93 90.00°
Atoms (fractional coordinates):
Zn (0.9963, 0.0000, 0.7948)
Mg (0.5000, 0.5000, 0.0000)
Sb (0.0000, 0.5000, 0.5000)
Zn (0.0037, 0.0000, 0.2052)

VASP energy	-2.34	eV per atom
DOS at the Fermi energy	0.353	states/eV/atom
space-group type	No. 10

---

(2)
# SrCu2Sb

A relaxed SrCu2Sb crystal (GGA-PBEsol, Alexandria).

Cell: 4.8847 4.8847 4.8847 Å, 60.00 60.00 60.00°
Atoms (fractional coordinates):
Cu (0.2500, 0.2500, 0.2500)
Cu (0.0000, 0.0000, 0.0000)
Sr (0.7500, 0.7500, 0.7500)
Sb (0.5000, 0.5000, 0.5000)

VASP energy	-3.68	eV per atom
DOS at the Fermi energy	0.384	states/eV/atom
space-group type	No. 216

---

(3)
# CsSeBr3

A relaxed CsSeBr3 crystal (GGA-PBEsol, Alexandria).

Cell: 7.5698 8.0424 7.7713 Å, 108.21 110.37 111.75°
Atoms (fractional coordinates):
Br (0.8409, 0.0180, 0.2219)
Cs (0.3065, 0.0583, 0.6239)
Br (0.4089, 0.1233, 0.1492)
Br (0.8419, 0.1028, 0.7332)
Br (0.8418, 0.5775, 0.0755)
Se (0.8414, 0.3336, 0.3711)
Se (0.8416, 0.4050, 0.7139)
Br (0.8418, 0.6803, 0.5965)
Br (0.2740, 0.5551, 0.5824)
Cs (0.3766, 0.5935, 0.1597)

VASP energy	-2.89	eV per atom
DOS at the Fermi energy	0.000	states/eV/atom
space-group type	No. 1

---

(4)
# MnTePd

A relaxed MnTePd crystal (GGA-PBEsol, Alexandria).

Cell: 4.4024 4.4024 4.4024 Å, 60.00 60.00 60.00°
Each line ends with the local moment (μB).
Atoms (fractional coordinates):
Pd (0.7500, 0.7500, 0.7500)  0.24
Te (0.0000, 0.0000, 0.0000)  0.09
Mn (0.5000, 0.5000, 0.5000)  4.15

VASP energy	-6.52	eV per atom
DOS at the Fermi energy	0.290	states/eV/atom
space-group type	No. 216

---

Copy entry 2 word for word.
# SrCu2Sb

A relaxed SrCu2Sb crystal (GGA-PBEsol, Alexandria).

Cell: 4.8847 4.8847 4.8847 Å, 60.00 60.00 60.00°
Atoms (fractional coordinates):
Cu (0.2500, 0.2500, 0.2500)
Cu (0.0000, 0.0000, 0.0000)
Sr (0.7500, 0.7500, 0.7500)
Sb (0.5000, 0.5000, 0.5000)

VASP energy	-3.68	eV per atom
DOS at the Fermi energy	0.384	states/eV/atom
space-group type	No. 216